The following is a DFT calculation (PBE) of BeTcSe3 after structural relaxation.

## Properties
Density of states at the Fermi level (states/eV/f.u.): 3.7
Formation energy (no corrections) (eV/f.u.): 3.6
Crystal system: cubic

a = 4.5667 Å, b = 4.5667 Å, c = 4.5667 Å
α = 90.00°, β = 90.00°, γ = 90.00°
With the nearest neighbours (Å) after each atom.
Space group Pm-3m (No. 221)
Unique sites:
1 Be 0.0000 0.0000 0.0000 (multiplicity 1)  6 Se 2.28
2 Tc 0.5000 0.5000 0.5000 (multiplicity 1)  12 Se 3.23
3 Se 0.0000 0.0000 0.5000 (multiplicity 3)  2 Be 2.28

=====

The following is a DFT calculation (PBE) of Be2TcSe after structural relaxation.

## Properties
Density of states at the Fermi level (states/eV/f.u.): 1.9
Formation energy (no corrections) (eV/f.u.): 0.7
Crystal system: monoclinic

a = 8.9111 Å, b = 3.2352 Å, c = 3.5211 Å
α = 90.00°, β = 98.47°, γ = 90.00°
With the nearest neighbours (Å) after each atom.
Space group Cm (No. 8)
Unique sites:
1 Be 0.0000 0.0000 0.0000 (multiplicity 2)  1 Be 2.26, 4 Tc 2.38-2.41
2 Be 0.2169 0.0000 0.7397 (multiplicity 2)  1 Be 2.26, 4 Se 2.31-2.53
3 Tc 0.4837 0.0000 0.5011 (multiplicity 2)  5 Be 2.38-2.64, 3 Se 2.62-2.63
4 Se 0.2554 0.5000 0.2969 (multiplicity 2)  5 Be 2.31-2.55

=====

The following is a DFT calculation (PBE) of Be2TcSe after structural relaxation.

## Properties
Density of states at the Fermi level (states/eV/f.u.): 2.4
Formation energy (no corrections) (eV/f.u.): 1.6
Crystal system: monoclinic

a = 5.1735 Å, b = 8.1857 Å, c = 2.9582 Å
α = 90.00°, β = 123.31°, γ = 90.00°
With the nearest neighbours (Å) after each atom.
Space group C2/m (No. 12)
Unique sites:
1 Be 0.2500 0.2500 0.0000 (multiplicity 4)  2 Se 2.42, 2 Tc 2.42, 4 Be 2.59-2.65
2 Tc 0.0000 0.0000 0.0000 (multiplicity 2)  4 Be 2.42, 4 Se 2.59-2.65
3 Se 0.0000 0.5000 0.0000 (multiplicity 2)  4 Be 2.42, 4 Tc 2.59-2.65

=====

The following is a DFT calculation (PBE) of Be2TcSe after structural relaxation.

## Properties
Density of states at the Fermi level (states/eV/f.u.): 2.1
Formation energy (no corrections) (eV/f.u.): 1.5
Crystal system: trigonal

a = 2.9315 Å, b = 2.9315 Å, c = 21.4959 Å
α = 90.00°, β = 90.00°, γ = 120.00°
With the nearest neighbours (Å) after each atom.
Space group R3m (No. 160, hexagonal axes)
Unique sites:
1 Be 0.0000 0.0000 0.0000 (multiplicity 3)  3 Be 2.32, 3 Tc 2.49
2 Be 0.0000 0.0000 0.2593 (multiplicity 3)  3 Be 2.32, 3 Se 2.53
3 Tc 0.0000 0.0000 0.7518 (multiplicity 3)  3 Be 2.49, 3 Se 2.51
4 Se 0.0000 0.0000 0.5048 (multiplicity 3)  3 Tc 2.51, 3 Be 2.53

=====

The following is a DFT calculation (PBE) of Be2TcSe after structural relaxation.

## Properties
Density of states at the Fermi level (states/eV/f.u.): 1.8
Formation energy (no corrections) (eV/f.u.): 1.0
Crystal system: tetragonal

a = 3.8768 Å, b = 3.8768 Å, c = 3.2049 Å
α = 90.00°, β = 90.00°, γ = 90.00°
With the nearest neighbours (Å) after each atom.
Space group P4/mmm (No. 123)
Unique sites:
1 Be 0.0000 0.5000 0.0000 (multiplicity 2)  4 Se 2.51, 4 Tc 2.51, 4 Be 2.74
2 Tc 0.0000 0.0000 0.5000 (multiplicity 1)  8 Be 2.51, 4 Se 2.74
3 Se 0.5000 0.5000 0.5000 (multiplicity 1)  8 Be 2.51, 4 Tc 2.74

=====

The following is a DFT calculation (PBE) of Be2TcSe after structural relaxation.

## Properties
Density of states at the Fermi level (states/eV/f.u.): 2.5
Formation energy (no corrections) (eV/f.u.): 0.1
Crystal system: tetragonal

a = 3.1525 Å, b = 3.1525 Å, c = 4.8824 Å
α = 90.00°, β = 90.00°, γ = 90.00°
With the nearest neighbours (Å) after each atom.
Space group P4/mmm (No. 123)
Unique sites:
1 Be 0.0000 0.0000 0.2209 (multiplicity 2)  1 Be 2.16
2 Tc 0.5000 0.5000 0.0000 (multiplicity 1)  2 Se 2.44, 8 Be 2.48
3 Se 0.5000 0.5000 0.5000 (multiplicity 1)  2 Tc 2.44, 8 Be 2.61

=====

The following is a DFT calculation (PBE) of Be4TcSe after structural relaxation.

## Properties
Density of states at the Fermi level (states/eV/f.u.): 0.7
Formation energy (no corrections) (eV/f.u.): 0.1
Crystal system: cubic

a = 6.2830 Å, b = 6.2830 Å, c = 6.2830 Å
α = 90.00°, β = 90.00°, γ = 90.00°
With the nearest neighbours (Å) after each atom.
Space group F-43m (No. 216)
Unique sites:
1 Be 0.1218 0.1218 0.1218 (multiplicity 16)  6 Be 2.16-2.28
2 Tc 0.2500 0.2500 0.7500 (multiplicity 4)  12 Be 2.60, 4 Se 2.72
3 Se 0.0000 0.0000 0.5000 (multiplicity 4)  12 Be 2.61, 4 Tc 2.72

=====

The following is a DFT calculation (PBE) of Be2Tc4Se after structural relaxation.

## Properties
Density of states at the Fermi level (states/eV/f.u.): 8.5
Formation energy (no corrections) (eV/f.u.): 8.3
Crystal system: tetragonal

a = 4.4621 Å, b = 4.4621 Å, c = 11.4071 Å
α = 90.00°, β = 90.00°, γ = 90.00°
With the nearest neighbours (Å) after each atom.
Space group I4/mmm (No. 139)
Unique sites:
1 Be 0.0000 0.0000 0.0977 (multiplicity 4)  1 Be 2.23, 5 Tc 2.25-2.49
2 Tc 0.0000 0.0000 0.2952 (multiplicity 4)  1 Be 2.25, 1 Se 2.34
3 Tc 0.0000 0.5000 0.0000 (multiplicity 4)  2 Se 2.23, 4 Be 2.49
4 Se 0.0000 0.0000 0.5000 (multiplicity 2)  6 Tc 2.23-2.34

=====

The following is a DFT calculation (PBE) of Be2TcTeSe after structural relaxation.

## Properties
Density of states at the Fermi level (states/eV/f.u.): 3.3
Formation energy (no corrections) (eV/f.u.): 4.2
Crystal system: tetragonal

a = 4.4553 Å, b = 4.4553 Å, c = 4.9804 Å
α = 90.00°, β = 90.00°, γ = 90.00°
With the nearest neighbours (Å) after each atom.
Space group P4/mmm (No. 123)
Unique sites:
1 Be 0.0000 0.5000 0.0000 (multiplicity 2)  2 Tc 2.23
2 Tc 0.0000 0.0000 0.0000 (multiplicity 1)  4 Be 2.23, 2 Te 2.49
3 Te 0.0000 0.0000 0.5000 (multiplicity 1)  2 Tc 2.49
4 Se 0.5000 0.5000 0.5000 (multiplicity 1)  4 Te 3.15, 8 Be 3.34

=====

The following is a DFT calculation (PBE) of TiBeTcSe2 after structural relaxation.

## Properties
Density of states at the Fermi level (states/eV/f.u.): 8.3
Formation energy (no corrections) (eV/f.u.): 2.8
Crystal system: tetragonal

a = 4.8528 Å, b = 4.8528 Å, c = 4.0573 Å
α = 90.00°, β = 90.00°, γ = 90.00°
With the nearest neighbours (Å) after each atom.
Space group P4/mmm (No. 123)
Unique sites:
1 Ti 0.0000 0.0000 0.0000 (multiplicity 1)  8 Se 3.16, 4 Be 3.43
2 Be 0.5000 0.5000 0.0000 (multiplicity 1)  2 Tc 2.03
3 Tc 0.5000 0.5000 0.5000 (multiplicity 1)  2 Be 2.03
4 Se 0.0000 0.5000 0.5000 (multiplicity 2)  2 Tc 2.43

=====

The following is a DFT calculation (PBE) of BeV2TcSe after structural relaxation.

## Properties
Density of states at the Fermi level (states/eV/f.u.): 6.9
Formation energy (no corrections) (eV/f.u.): 6.1
Crystal system: tetragonal

a = 4.6930 Å, b = 4.6930 Å, c = 4.6767 Å
α = 90.00°, β = 90.00°, γ = 90.00°
With the nearest neighbours (Å) after each atom.
Space group P4/mmm (No. 123)
Unique sites:
1 Be 0.0000 0.0000 0.0000 (multiplicity 1)  8 V 3.31, 4 Se 3.32
2 V 0.0000 0.5000 0.5000 (multiplicity 2)  2 Tc 2.35
3 Tc 0.5000 0.5000 0.5000 (multiplicity 1)  2 Se 2.34, 4 V 2.35
4 Se 0.5000 0.5000 0.0000 (multiplicity 1)  2 Tc 2.34

=====

The following is a DFT calculation (PBE) of YBe2TcSe after structural relaxation.

## Properties
Density of states at the Fermi level (states/eV/f.u.): 4.3
Formation energy (no corrections) (eV/f.u.): 4.0
Crystal system: tetragonal

a = 4.2466 Å, b = 4.2466 Å, c = 5.2705 Å
α = 90.00°, β = 90.00°, γ = 90.00°
With the nearest neighbours (Å) after each atom.
Space group P4/mmm (No. 123)
Unique sites:
1 Y 0.0000 0.0000 0.0000 (multiplicity 1)  2 Se 2.64
2 Be 0.0000 0.5000 0.5000 (multiplicity 2)  2 Se 2.12
3 Tc 0.5000 0.5000 0.0000 (multiplicity 1)  4 Y 3.00
4 Se 0.0000 0.0000 0.5000 (multiplicity 1)  4 Be 2.12